(1)
5
Lattice="5.2850 0.0000 0.0000 0.0000 5.2850 0.0000 0.0000 0.0000 5.3124" Properties=species:S:1:pos:R:3 comment="PPbCS2, relaxed, DFT PBE" magmom_total_mub_per_cell=2.36 raw_formation_energy_kj_per_mol_atoms=228.7 pbc="T T T"
S 0.0000 2.6425 0.0000
S 2.6425 0.0000 0.0000
C 2.6425 2.6425 2.6562
P 0.0000 0.0000 2.6562
Pb 0.0000 0.0000 0.0000

=====

(2)
4
Lattice="-1.4682 0.6303 -4.4689 -0.1358 -3.8939 -2.7098 -1.5726 1.2128 4.3104" Properties=species:S:1:pos:R:3 comment="Cr2CuPt, relaxed, DFT PBE" e_form_ev_per_fu=0.3 magmom_total_mub_per_cell=0.08 pbc="T T T"
Cu -1.2552 -2.1564 -0.9944
Cr 0.0000 0.0000 0.0000
Cr -0.8020 -1.6318 -3.5893
Pt -1.9214 0.1056 -1.8739

=====

(3)
3
Lattice="4.0583 0.0000 0.0000 0.0000 5.4016 0.0000 0.0000 -2.7008 4.6779" Properties=species:S:1:pos:R:3 comment="AcErTl, relaxed, DFT PBE" e_form_ev_per_fu=-0.5 magmom_total_mub_per_cell=0.00 pbc="T T T"
Ac 2.7069 0.0000 3.1186
Tl 0.6733 0.0000 0.0000
Er 0.6781 2.7008 1.5593

=====

(4)
9
Lattice="-2.2003 -2.4704 2.4929 0.0176 -1.8869 -5.2960 6.8662 -3.5430 2.5492" Properties=species:S:1:pos:R:3 comment="Pr3Ni4Ge2, relaxed, DFT PBE" e_form_ev_per_fu=-4.8 magmom_total_mub_per_cell=0.00 pbc="T T T"
Ge 0.7370 -2.8162 -2.1403
Ge 3.9466 -5.0842 1.8865
Pr 1.2434 -3.3529 1.2163
Pr 0.0000 0.0000 0.0000
Pr 3.4401 -4.5475 -1.4702
Ni 0.4955 -5.1212 -1.1962
Ni 5.7089 -4.8582 0.2244
Ni 4.1881 -2.7792 0.9424
Ni -1.0253 -3.0422 -0.4782

=====

(5)
4
Lattice="-5.0125 -4.5564 -0.0727 -0.9818 -6.7022 0.0884 -0.1455 0.0859 4.7854" Properties=species:S:1:pos:R:3 comment="TlInBr2, relaxed, DFT PBE" magmom_total_mub_per_cell=0.00 raw_formation_energy_kj_per_mol_atoms=-72.4 pbc="T T T"
Tl -1.6266 -3.0098 0.6075
Br -0.1018 -0.1468 0.5917
Br -4.4365 -8.1080 3.0048
In -3.0448 -5.4945 2.9975

=====

(6)
4
Lattice="-2.7492 -3.7675 -2.0430 1.5207 -4.8317 0.5186 -2.5990 -3.1777 3.0122" Properties=species:S:1:pos:R:3 comment="NaCeMgAu, relaxed, DFT PBE" e_form_ev_per_fu=-0.7 magmom_total_mub_per_cell=0.69 pbc="T T T"
Na -1.9138 -5.8884 0.7439
Mg -0.9569 -2.9442 0.3719
Ce -2.8707 -8.8326 1.1158
Au 0.0000 0.0000 0.0000

=====

(7)
6
Lattice="-2.5687 -1.7525 -2.9517 3.0258 -4.2069 -0.1356 -5.4941 -0.9297 5.3333" Properties=species:S:1:pos:R:3 comment="InHg5, relaxed, DFT PBE" e_form_ev_per_fu=0.0 magmom_total_mub_per_cell=0.00 pbc="T T T"
Hg -2.4227 -1.8458 3.2043
Hg -5.0452 -3.7415 3.4982
Hg 0.3965 -2.9540 1.4088
Hg -2.3983 -1.7249 -0.0025
Hg -2.1961 -4.8270 1.6633
In -2.2461 -4.9674 4.9040

=====

(8)
4
Lattice="-0.5521 3.1868 0.3968 -1.1183 -0.6572 3.7225 5.5747 0.7409 1.8056" Properties=species:S:1:pos:R:3 comment="MgIn2Os, relaxed, DFT PBE" e_form_ev_per_fu=1.0 magmom_total_mub_per_cell=0.00 pbc="T T T"
Os 3.3459 1.8205 3.4138
Mg 0.5585 1.4500 2.5110
In 2.8670 0.3810 0.9286
In 5.4951 0.7303 1.7798